a | An optimized crystal structure of SrNi2Ru2, computed with PBE-GGA.

The structure belongs to space group P4/mbm (No. 127); the cell edges are 7.635, 7.635 and 2.713 Å and the angles 90.00°, 90.00° and 90.00°. The inequivalent atoms are Sr at (0.000, 0.000, 0.000), Ni at (0.177, 0.323, 0.500) and Ru at (0.116, 0.616, 0.000).

For the density of states at the Fermi level, the calculation gives 13.19 states/eV/cell.

b | An optimized crystal structure of SrNi2Ru2, computed with PBE-GGA.

The structure belongs to space group I4/mmm (No. 139); the cell edges are 4.205, 4.205 and 9.947 Å and the angles 90.00°, 90.00° and 90.00°. The inequivalent atoms are Sr at (0.000, 0.000, 0.000), Ni at (0.000, 0.500, 0.250) and Ru at (0.000, 0.000, 0.384).

For the density of states at the Fermi level, the calculation gives 12.35 states/eV/cell.

Energy above the most stable structure, in meV per atom: a 58; b 0

a | An optimized crystal structure of SrNiRu, computed with PBE-GGA.

The structure belongs to space group I4mm (No. 107); the cell edges are 3.355, 3.355 and 10.716 Å and the angles 90.00°, 90.00° and 90.00°. The inequivalent atoms are Sr at (0.000, 0.000, 0.000), Ni at (0.000, 0.000, 0.718) and Ru at (0.000, 0.000, 0.282).

For the density of states at the Fermi level, the calculation gives 7.74 states/eV/cell.

b | An optimized crystal structure of SrNiRu, computed with PBE-GGA.

The structure belongs to space group F-43m (No. 216); the cell edges are 6.497, 6.497 and 6.497 Å and the angles 90.00°, 90.00° and 90.00°. The inequivalent atoms are Sr at (0.000, 0.000, 0.000), Ni at (0.250, 0.250, 0.750) and Ru at (0.250, 0.250, 0.250).

For the density of states at the Fermi level, the calculation gives 32.73 states/eV/cell.

c | An optimized crystal structure of SrNiRu, computed with PBE-GGA.

The structure belongs to space group P-6m2 (No. 187); the cell edges are 4.0579, 4.0579 and 4.7060 Å and the angles 90.00°, 90.00° and 120.00°. The inequivalent atoms are Sr at (0.0000, 0.0000, 0.0000), Ni at (0.6667, 0.3333, 0.5000) and Ru at (0.3333, 0.6667, 0.5000).

For the density of states at the Fermi level, the calculation gives 2.63 states/eV/cell.

Energy above the most stable structure, in meV per atom: a 97; b 1288; c 0

a | An optimized crystal structure of SrNiRu, computed with PBE-GGA.

The structure belongs to space group F-43m (No. 216); the cell edges are 6.394, 6.394 and 6.394 Å and the angles 90.00°, 90.00° and 90.00°. The inequivalent atoms are Sr at (0.000, 0.000, 0.000), Ni at (0.250, 0.250, 0.250) and Ru at (0.000, 0.000, 0.500).

For the density of states at the Fermi level, the calculation gives 12.74 states/eV/cell.

b | An optimized crystal structure of SrNiRu, computed with PBE-GGA.

The structure belongs to space group P4/nmm (No. 129, origin choice 2); the cell edges are 4.344, 4.344 and 7.062 Å and the angles 90.00°, 90.00° and 90.00°. The inequivalent atoms are Sr at (0.250, 0.250, 0.174), Ni at (0.250, 0.250, 0.654) and Ru at (0.250, 0.750, 0.500).

For the density of states at the Fermi level, the calculation gives 5.44 states/eV/cell.

Energy above the most stable structure, in meV per atom: a 580; b 0